A plane-wave DFT calculation with GGA-PBE was carried out for an optimized crystal structure of PmYAgPb.

The energy of formation from the pure elements is -0.42 eV/atom. As for the volume: 108.4 Å³/f.u. Its crystal system is cubic.

The space group is F-43m (No. 216) and the conventional cell measures 7.569, 7.569 and 7.569 Å, with angles of 90.00, 90.00 and 90.00 degrees. The distinct sites, in fractional coordinates, are Pm at (0.000, 0.000, 0.000), Y at (0.000, 0.000, 0.500), Ag at (0.250, 0.250, 0.750) and Pb at (0.250, 0.250, 0.250).